# Y3Si3Tc, optimized geometry, DFT GGA-PBE
data_Y3Si3Tc
_chemical_formula_sum 'Y6 Si6 Tc2'
_cell_length_a 4.208
_cell_length_b 5.761
_cell_length_c 12.986
_cell_angle_alpha 84.68
_cell_angle_beta 80.68
_cell_angle_gamma 68.58
_symmetry_space_group_name_H-M 'P 1'
_symmetry_Int_Tables_number 1
_symmetry_space_group_name_Hall 'P 1'
loop_
_atom_site_label
_atom_site_type_symbol
_atom_site_fract_x
_atom_site_fract_y
_atom_site_fract_z
Y1 Y 0.520 0.335 0.625
Y2 Y 0.480 0.665 0.375
Y3 Y 0.256 0.260 0.228
Y4 Y 0.744 0.740 0.772
Y5 Y 0.395 0.288 0.921
Y6 Y 0.605 0.712 0.079
Si1 Si 0.864 0.729 0.543
Si2 Si 0.136 0.271 0.457
Si3 Si 0.109 0.856 0.926
Si4 Si 0.891 0.144 0.074
Si5 Si 0.948 0.867 0.236
Si6 Si 0.052 0.133 0.764
Tc1 Tc 0.756 0.077 0.411
Tc2 Tc 0.244 0.923 0.589
# N(E_F) (states/eV/f.u.): 5.80
# DFT total energy (eV/atom): -7.36
# Formation energy (no corrections) (meV/atom): -780
# Mass density (g/cm3): 5.2